(1)
The following is a PBE calculation of an optimized crystal structure of SmSc3Tl, from Alexandria via LeMat-Bulk.

Lattice parameters (Å, degrees): 9.329 9.329 6.237 100.89 100.89 83.31
Sites, in units of the cell vectors:
1 Sm 0.035 0.176 0.466
2 Sm 0.176 0.035 0.966
3 Sm 0.824 0.965 0.034
4 Sm 0.965 0.824 0.534
5 Sc 0.088 0.702 0.037
6 Sc 0.124 0.492 0.358
7 Sc 0.227 0.380 0.858
8 Sc 0.298 0.912 0.463
9 Sc 0.380 0.227 0.358
10 Sc 0.492 0.124 0.858
11 Sc 0.508 0.876 0.142
12 Sc 0.620 0.773 0.642
13 Sc 0.702 0.088 0.537
14 Sc 0.773 0.620 0.142
15 Sc 0.876 0.508 0.642
16 Sc 0.912 0.298 0.963
17 Tl 0.321 0.679 0.750
18 Tl 0.418 0.582 0.250
19 Tl 0.582 0.418 0.750
20 Tl 0.679 0.321 0.250

Properties
SG ... C2/c, No. 15
Crystal system ... monoclinic
Polymorph energy (0 for the lowest one) ... 46 meV/atom
Formation energy from the elements ... -0.022 eV/atom

---

(2)
The following is a PBE calculation of an optimized crystal structure of SmSc5Tl2, from Alexandria via LeMat-Bulk.

Lattice parameters (Å, degrees): 7.922 7.922 7.922 154.25 105.15 80.68
Sites, in units of the cell vectors:
1 Sm 0.000 0.000 0.000
2 Sc 0.147 0.369 0.779
3 Sc 0.410 0.631 0.779
4 Sc 0.500 0.000 0.500
5 Sc 0.590 0.369 0.221
6 Sc 0.853 0.631 0.221
7 Tl 0.243 0.743 0.500
8 Tl 0.757 0.257 0.500

Properties
SG ... Immm, No. 71
Crystal system ... orthorhombic
Formation energy from the elements ... -0.141 eV/atom

---

(3)
The following is a PBE calculation of an optimized crystal structure of SmSc2Tl2, from Alexandria via LeMat-Bulk.

Lattice parameters (Å, degrees): 5.101 5.101 6.343 90.00 90.00 120.00
Sites, in units of the cell vectors:
1 Sm 0.000 0.000 0.000
2 Sc 0.333 0.667 0.664
3 Sc 0.667 0.333 0.336
4 Tl 0.333 0.667 0.208
5 Tl 0.667 0.333 0.792

Properties
SG ... P-3m1, No. 164
Crystal system ... trigonal
Polymorph energy (0 for the lowest one) ... 0 meV/atom
Formation energy from the elements ... -0.091 eV/atom

---

(4)
The following is a PBE calculation of an optimized crystal structure of Sm14ScTl, from Alexandria via LeMat-Bulk.

Lattice parameters (Å, degrees): 10.177 7.122 7.122 89.99 90.00 90.00
Sites, in units of the cell vectors:
1 Sm 0.000 0.000 0.000
2 Sm 0.000 0.000 0.500
3 Sm 0.000 0.500 0.000
4 Sm 0.000 0.500 0.500
5 Sm 0.256 0.249 0.249
6 Sm 0.256 0.249 0.751
7 Sm 0.256 0.751 0.249
8 Sm 0.256 0.751 0.751
9 Sm 0.500 0.500 0.999
10 Sm 0.500 0.999 0.500
11 Sm 0.744 0.249 0.249
12 Sm 0.744 0.249 0.751
13 Sm 0.744 0.751 0.249
14 Sm 0.744 0.751 0.751
15 Sc 0.500 0.000 0.000
16 Tl 0.500 0.500 0.500

Properties
SG ... Amm2, No. 38
Crystal system ... orthorhombic
Formation energy from the elements ... -0.018 eV/atom

---

(5)
The following is a PBE calculation of an optimized crystal structure of Sm2Sc6Tl, from Alexandria via LeMat-Bulk.

Lattice parameters (Å, degrees): 9.056 9.056 9.056 158.93 115.73 68.45
Sites, in units of the cell vectors:
1 Sm 0.148 0.148 0.000
2 Sm 0.852 0.852 0.000
3 Sc 0.158 0.821 0.337
4 Sc 0.214 0.500 0.714
5 Sc 0.484 0.821 0.663
6 Sc 0.516 0.179 0.337
7 Sc 0.786 0.500 0.286
8 Sc 0.842 0.179 0.663
9 Tl 0.500 0.000 0.500

Properties
SG ... Immm, No. 71
Crystal system ... orthorhombic
Formation energy from the elements ... 0.027 eV/atom

---

(6)
The following is a PBE calculation of an optimized crystal structure of Sm6ScTl5, from Alexandria via LeMat-Bulk.

Lattice parameters (Å, degrees): 9.528 9.528 9.528 146.66 132.44 59.32
Sites, in units of the cell vectors:
1 Sm 0.076 0.330 0.747
2 Sm 0.242 0.000 0.242
3 Sm 0.417 0.670 0.747
4 Sm 0.583 0.330 0.253
5 Sm 0.758 0.000 0.758
6 Sm 0.924 0.670 0.253
7 Sc 0.500 0.500 0.000
8 Tl 0.000 0.500 0.500
9 Tl 0.168 0.168 0.000
10 Tl 0.346 0.846 0.500
11 Tl 0.654 0.154 0.500
12 Tl 0.832 0.832 0.000

Properties
SG ... Immm, No. 71
Crystal system ... orthorhombic
Formation energy from the elements ... -0.285 eV/atom

---

(7)
The following is a PBE calculation of an optimized crystal structure of Sm6ScTl2, from Alexandria via LeMat-Bulk.

Lattice parameters (Å, degrees): 6.704 6.704 11.968 106.21 106.21 32.32
Sites, in units of the cell vectors:
1 Sm 0.024 0.024 0.345
2 Sm 0.305 0.305 0.403
3 Sm 0.327 0.327 0.121
4 Sm 0.673 0.673 0.879
5 Sm 0.695 0.695 0.597
6 Sm 0.976 0.976 0.655
7 Sc 0.000 0.000 0.000
8 Tl 0.365 0.365 0.819
9 Tl 0.635 0.635 0.181

Properties
SG ... C2/m, No. 12
Crystal system ... monoclinic
Polymorph energy (0 for the lowest one) ... 0 meV/atom
Formation energy from the elements ... -0.144 eV/atom

---

(8)
The following is a PBE calculation of an optimized crystal structure of Sm2Sc3Tl, from Alexandria via LeMat-Bulk.

Lattice parameters (Å, degrees): 8.542 8.542 5.270 90.00 90.00 154.86
Sites, in units of the cell vectors:
1 Sm 0.162 0.838 0.000
2 Sm 0.838 0.162 0.000
3 Sc 0.000 0.000 0.500
4 Sc 0.328 0.672 0.500
5 Sc 0.672 0.328 0.500
6 Tl 0.500 0.500 0.000

Properties
SG ... Cmmm, No. 65
Crystal system ... orthorhombic
Formation energy from the elements ... -0.028 eV/atom

---

(9)
The following is a PBE calculation of an optimized crystal structure of Sm2Sc2Tl3, from Alexandria via LeMat-Bulk.

Lattice parameters (Å, degrees): 12.356 12.356 3.372 90.00 90.00 158.82
Sites, in units of the cell vectors:
1 Sm 0.075 0.925 0.000
2 Sm 0.925 0.075 0.000
3 Sc 0.208 0.792 0.000
4 Sc 0.792 0.208 0.000
5 Tl 0.340 0.660 0.500
6 Tl 0.500 0.500 0.500
7 Tl 0.660 0.340 0.500

Properties
SG ... Cmmm, No. 65
Crystal system ... orthorhombic
Formation energy from the elements ... -0.200 eV/atom

---

(10)
The following is a PBE calculation of an optimized crystal structure of SmSc4Tl, from Alexandria via LeMat-Bulk.

Lattice parameters (Å, degrees): 10.725 10.725 6.417 90.00 90.00 152.25
Sites, in units of the cell vectors:
1 Sm 0.136 0.864 0.500
2 Sm 0.864 0.136 0.000
3 Sc 0.148 0.852 0.998
4 Sc 0.280 0.720 0.248
5 Sc 0.292 0.708 0.743
6 Sc 0.441 0.559 0.715
7 Sc 0.559 0.441 0.215
8 Sc 0.708 0.292 0.243
9 Sc 0.720 0.280 0.748
10 Sc 0.852 0.148 0.498
11 Tl 0.420 0.580 0.258
12 Tl 0.580 0.420 0.758

Properties
SG ... Cmc2_1, No. 36
Crystal system ... orthorhombic
Formation energy from the elements ... 0.102 eV/atom

---

(11)
The following is a PBE calculation of an optimized crystal structure of SmSc12Tl3, from Alexandria via LeMat-Bulk.

Lattice parameters (Å, degrees): 4.554 4.554 18.566 90.00 90.00 90.00
Sites, in units of the cell vectors:
1 Sm 0.000 0.000 0.000
2 Sc 0.000 0.500 0.133
3 Sc 0.000 0.500 0.378
4 Sc 0.000 0.500 0.622
5 Sc 0.000 0.500 0.867
6 Sc 0.500 0.000 0.133
7 Sc 0.500 0.000 0.378
8 Sc 0.500 0.000 0.622
9 Sc 0.500 0.000 0.867
10 Sc 0.500 0.500 0.000
11 Sc 0.500 0.500 0.258
12 Sc 0.500 0.500 0.500
13 Sc 0.500 0.500 0.742
14 Tl 0.000 0.000 0.257
15 Tl 0.000 0.000 0.500
16 Tl 0.000 0.000 0.743

Properties
SG ... P4/mmm, No. 123
Crystal system ... tetragonal
Formation energy from the elements ... -0.121 eV/atom

---

(12)
The following is a PBE calculation of an optimized crystal structure of Sm12Sc5Tl2, from Alexandria via LeMat-Bulk.

Lattice parameters (Å, degrees): 8.501 8.501 8.516 100.14 100.14 78.50
Sites, in units of the cell vectors:
1 Sm 0.085 0.085 0.199
2 Sm 0.120 0.522 0.688
3 Sm 0.128 0.653 0.108
4 Sm 0.347 0.872 0.892
5 Sm 0.364 0.364 0.367
6 Sm 0.478 0.880 0.312
7 Sm 0.522 0.120 0.688
8 Sm 0.636 0.636 0.633
9 Sm 0.653 0.128 0.108
10 Sm 0.872 0.347 0.892
11 Sm 0.880 0.478 0.312
12 Sm 0.915 0.915 0.801
13 Sc 0.124 0.124 0.596
14 Sc 0.263 0.263 0.964
15 Sc 0.500 0.500 0.000
16 Sc 0.737 0.737 0.036
17 Sc 0.876 0.876 0.404
18 Tl 0.236 0.764 0.500
19 Tl 0.764 0.236 0.500

Properties
SG ... C2/m, No. 12
Crystal system ... monoclinic
Formation energy from the elements ... 0.019 eV/atom

---

(13)
The following is a PBE calculation of an optimized crystal structure of Sm2ScTl2, from Alexandria via LeMat-Bulk.

Lattice parameters (Å, degrees): 6.225 6.225 6.225 136.29 114.72 81.89
Sites, in units of the cell vectors:
1 Sm 0.198 0.198 0.000
2 Sm 0.802 0.802 0.000
3 Sc 0.500 0.000 0.500
4 Tl 0.229 0.500 0.729
5 Tl 0.771 0.500 0.271

Properties
SG ... Immm, No. 71
Crystal system ... orthorhombic
Polymorph energy (0 for the lowest one) ... 31 meV/atom
Formation energy from the elements ... -0.267 eV/atom

---

(14)
The following is a PBE calculation of an optimized crystal structure of Sm2ScTl3, from Alexandria via LeMat-Bulk.

Lattice parameters (Å, degrees): 3.729 3.729 11.626 90.00 90.00 90.00
Sites, in units of the cell vectors:
1 Sm 0.000 0.000 0.176
2 Sm 0.000 0.000 0.824
3 Sc 0.000 0.000 0.500
4 Tl 0.500 0.500 0.000
5 Tl 0.500 0.500 0.353
6 Tl 0.500 0.500 0.647

Properties
SG ... P4/mmm, No. 123
Crystal system ... tetragonal
Formation energy from the elements ... -0.343 eV/atom

---

(15)
The following is a PBE calculation of an optimized crystal structure of Sm4Sc5Tl6, from Alexandria via LeMat-Bulk.

Lattice parameters (Å, degrees): 11.139 11.139 15.521 90.00 90.00 154.15
Sites, in units of the cell vectors:
1 Sm 0.039 0.961 0.500
2 Sm 0.039 0.961 0.775
3 Sm 0.156 0.844 0.312
4 Sm 0.156 0.844 0.964
5 Sm 0.844 0.156 0.464
6 Sm 0.844 0.156 0.812
7 Sm 0.961 0.039 0.000
8 Sm 0.961 0.039 0.275
9 Sc 0.174 0.826 0.638
10 Sc 0.324 0.676 0.638
11 Sc 0.330 0.670 0.975
12 Sc 0.331 0.669 0.301
13 Sc 0.469 0.531 0.638
14 Sc 0.531 0.469 0.138
15 Sc 0.669 0.331 0.801
16 Sc 0.670 0.330 0.475
17 Sc 0.676 0.324 0.138
18 Sc 0.826 0.174 0.138
19 Tl 0.090 0.910 0.138
20 Tl 0.248 0.752 0.480
21 Tl 0.248 0.752 0.796
22 Tl 0.401 0.599 0.138
23 Tl 0.436 0.564 0.435
24 Tl 0.436 0.564 0.840
25 Tl 0.564 0.436 0.340
26 Tl 0.564 0.436 0.935
27 Tl 0.599 0.401 0.638
28 Tl 0.752 0.248 0.296
29 Tl 0.752 0.248 0.980
30 Tl 0.910 0.090 0.638

Properties
SG ... Cmc2_1, No. 36
Crystal system ... orthorhombic
Formation energy from the elements ... -0.215 eV/atom

---

(16)
The following is a PBE calculation of an optimized crystal structure of Sm12ScTl3, from Alexandria via LeMat-Bulk.

Lattice parameters (Å, degrees): 4.935 4.935 20.032 90.00 90.00 90.00
Sites, in units of the cell vectors:
1 Sm 0.000 0.000 0.000
2 Sm 0.000 0.000 0.249
3 Sm 0.000 0.000 0.500
4 Sm 0.000 0.000 0.751
5 Sm 0.000 0.500 0.124
6 Sm 0.000 0.500 0.374
7 Sm 0.000 0.500 0.626
8 Sm 0.000 0.500 0.876
9 Sm 0.500 0.000 0.124
10 Sm 0.500 0.000 0.374
11 Sm 0.500 0.000 0.626
12 Sm 0.500 0.000 0.876
13 Sc 0.500 0.500 0.500
14 Tl 0.500 0.500 0.000
15 Tl 0.500 0.500 0.246
16 Tl 0.500 0.500 0.754

Properties
SG ... P4/mmm, No. 123
Crystal system ... tetragonal
Formation energy from the elements ... -0.135 eV/atom

---

(17)
The following is a PBE calculation of an optimized crystal structure of SmSc4Tl5, from Alexandria via LeMat-Bulk.

Lattice parameters (Å, degrees): 3.629 3.629 18.558 90.00 90.00 90.00
Sites, in units of the cell vectors:
1 Sm 0.000 0.000 0.000
2 Sc 0.000 0.000 0.211
3 Sc 0.000 0.000 0.404
4 Sc 0.000 0.000 0.596
5 Sc 0.000 0.000 0.789
6 Tl 0.500 0.500 0.114
7 Tl 0.500 0.500 0.308
8 Tl 0.500 0.500 0.500
9 Tl 0.500 0.500 0.692
10 Tl 0.500 0.500 0.886

Properties
SG ... P4/mmm, No. 123
Crystal system ... tetragonal
Formation energy from the elements ... -0.282 eV/atom

---

(18)
The following is a PBE calculation of an optimized crystal structure of SmSc3Tl2, from Alexandria via LeMat-Bulk.

Lattice parameters (Å, degrees): 4.890 9.570 6.521 90.00 90.00 90.00
Sites, in units of the cell vectors:
1 Sm 0.000 0.042 0.000
2 Sm 0.000 0.958 0.500
3 Sc 0.000 0.317 0.611
4 Sc 0.000 0.683 0.111
5 Sc 0.500 0.202 0.275
6 Sc 0.500 0.458 0.896
7 Sc 0.500 0.542 0.396
8 Sc 0.500 0.798 0.775
9 Tl 0.000 0.374 0.155
10 Tl 0.000 0.626 0.655
11 Tl 0.500 0.143 0.728
12 Tl 0.500 0.857 0.228

Properties
SG ... Pmc2_1, No. 26
Crystal system ... orthorhombic
Polymorph energy (0 for the lowest one) ... 0 meV/atom
Formation energy from the elements ... -0.239 eV/atom

---

(19)
The following is a PBE calculation of an optimized crystal structure of SmScTl6, from Alexandria via LeMat-Bulk.

Lattice parameters (Å, degrees): 4.751 4.751 9.466 90.00 90.00 90.00
Sites, in units of the cell vectors:
1 Sm 0.000 0.000 0.000
2 Sc 0.000 0.000 0.500
3 Tl 0.000 0.500 0.258
4 Tl 0.000 0.500 0.742
5 Tl 0.500 0.000 0.258
6 Tl 0.500 0.000 0.742
7 Tl 0.500 0.500 0.000
8 Tl 0.500 0.500 0.500

Properties
SG ... P4/mmm, No. 123
Crystal system ... tetragonal
Formation energy from the elements ... -0.193 eV/atom

---

(20)
The following is a PBE calculation of an optimized crystal structure of Sm5ScTl8, from Alexandria via LeMat-Bulk.

Lattice parameters (Å, degrees): 8.085 8.085 8.085 108.89 108.89 110.63
Sites, in units of the cell vectors:
1 Sm 0.000 0.000 0.000
2 Sm 0.130 0.485 0.876
3 Sm 0.515 0.390 0.644
4 Sm 0.610 0.254 0.124
5 Sm 0.746 0.870 0.356
6 Sc 0.250 0.750 0.500
7 Tl 0.040 0.304 0.408
8 Tl 0.202 0.102 0.726
9 Tl 0.369 0.960 0.264
10 Tl 0.376 0.476 0.274
11 Tl 0.524 0.798 0.900
12 Tl 0.696 0.105 0.736
13 Tl 0.895 0.631 0.592
14 Tl 0.898 0.624 0.100

Properties
SG ... I-4, No. 82
Crystal system ... tetragonal
Formation energy from the elements ... -0.260 eV/atom